[1]
First-principles (PBE) data for an optimized crystal structure of Rb2NpI8, as listed in the Alexandria database.

**Theoretical density**: 3.6 g/cm³

Lattice parameters (Å, degrees): 6.6737 10.0787 10.0787 79.63 79.63 79.63
Site moments in Bohr magnetons follow the coordinates.
Fractional positions:
1 Rb 0.1091 0.2856 0.2856  0.00
2 Rb 0.8909 0.7144 0.7144  0.00
3 Np 0.0000 0.0000 0.0000  3.05
4 I 0.7922 0.0860 0.7587  -0.11
5 I 0.2078 0.2413 0.9140  -0.11
6 I 0.6739 0.1682 0.1682  -0.08
7 I 0.3261 0.8318 0.8318  -0.08
8 I 0.7922 0.7587 0.0860  -0.11
9 I 0.2078 0.9140 0.2413  -0.11
10 I 0.2563 0.4987 0.4987  -0.01
11 I 0.7437 0.5013 0.5013  -0.01

---

[2]
First-principles (PBE) data for an optimized crystal structure of CsPdOF2, as listed in the Alexandria database.

**Energy above the lowest structure with this stoichiometry**: 134.0 kJ per mole of atoms
**Theoretical density**: 4.2 g/cm³

Lattice parameters (Å, degrees): 5.1565 5.1565 4.3332 90.00 90.00 90.00
Site moments in Bohr magnetons follow the coordinates.
Fractional positions:
1 Cs 0.0000 0.0000 0.0000  0.06
2 O 0.0000 0.0000 0.5000  0.08
3 Pd 0.5000 0.5000 0.5000  0.74
4 F 0.0000 0.5000 0.0000  0.11
5 F 0.5000 0.0000 0.0000  0.11

---

[3]
First-principles (PBE) data for an optimized crystal structure of K3Al5Se12, as listed in the Alexandria database.

**Theoretical density**: 3.7 g/cm³

Lattice parameters (Å, degrees): 14.0507 14.0507 14.0507 109.47 109.47 109.47
Fractional positions:
1 K 0.7500 0.3750 0.1250
2 K 0.8750 0.7500 0.1250
3 K 0.3750 0.7500 0.6250
4 K 0.2500 0.1250 0.3750
5 K 0.8750 0.1250 0.2500
6 K 0.3750 0.6250 0.2500
7 K 0.6250 0.3750 0.7500
8 K 0.1250 0.8750 0.7500
9 K 0.7500 0.8750 0.6250
10 K 0.6250 0.2500 0.3750
11 K 0.1250 0.2500 0.8750
12 K 0.2500 0.6250 0.8750
13 Al 0.1250 0.3750 0.2500
14 Al 0.0000 0.5000 0.0000
15 Al 0.0000 0.0000 0.0000
16 Al 0.3750 0.2500 0.1250
17 Al 0.5000 0.0000 0.5000
18 Al 0.5000 0.5000 0.0000
19 Al 0.1250 0.7500 0.3750
20 Al 0.7500 0.1250 0.8750
21 Al 0.7500 0.6250 0.3750
22 Al 0.3750 0.1250 0.7500
23 Al 0.6250 0.8750 0.2500
24 Al 0.5000 0.5000 0.5000
25 Al 0.5000 0.0000 0.0000
26 Al 0.0000 0.0000 0.5000
27 Al 0.2500 0.3750 0.6250
28 Al 0.2500 0.8750 0.1250
29 Al 0.0000 0.5000 0.5000
30 Al 0.8750 0.2500 0.6250
31 Al 0.6250 0.7500 0.8750
32 Al 0.8750 0.6250 0.7500
33 Se 0.7021 0.0966 0.0170
34 Se 0.3148 0.5170 0.4204
35 Se 0.9830 0.4034 0.2979
36 Se 0.5170 0.2021 0.0966
37 Se 0.6055 0.7021 0.6852
38 Se 0.9830 0.5796 0.1852
39 Se 0.3148 0.7979 0.3945
40 Se 0.0796 0.8945 0.0966
41 Se 0.5796 0.9830 0.6852
42 Se 0.7021 0.6055 0.1852
43 Se 0.7979 0.4830 0.4034
44 Se 0.8148 0.9204 0.0170
45 Se 0.0966 0.7021 0.5170
46 Se 0.4034 0.4204 0.1055
47 Se 0.1055 0.9204 0.4034
48 Se 0.3945 0.0966 0.5796
49 Se 0.1055 0.1852 0.2021
50 Se 0.4830 0.6852 0.0796
51 Se 0.8148 0.8945 0.2979
52 Se 0.0966 0.3945 0.0796
53 Se 0.4034 0.9830 0.7979
54 Se 0.5796 0.5966 0.3945
55 Se 0.9204 0.8148 0.5170
56 Se 0.7979 0.3148 0.8945
57 Se 0.4204 0.4034 0.6055
58 Se 0.0796 0.1852 0.4830
59 Se 0.2021 0.6852 0.1055
60 Se 0.1852 0.1055 0.7021
61 Se 0.5966 0.0170 0.2021
62 Se 0.9034 0.6055 0.9204
63 Se 0.5170 0.3148 0.9204
64 Se 0.6055 0.9034 0.4204
65 Se 0.8945 0.8148 0.7979
66 Se 0.8945 0.0796 0.5966
67 Se 0.9034 0.2979 0.4830
68 Se 0.1852 0.0796 0.9830
69 Se 0.5966 0.5796 0.8945
70 Se 0.4204 0.0170 0.3148
71 Se 0.2979 0.3945 0.8148
72 Se 0.2021 0.5170 0.5966
73 Se 0.9204 0.1055 0.9034
74 Se 0.6852 0.2021 0.6055
75 Se 0.4830 0.7979 0.9034
76 Se 0.0170 0.4204 0.8148
77 Se 0.3945 0.2979 0.3148
78 Se 0.0170 0.5966 0.7021
79 Se 0.6852 0.4830 0.5796
80 Se 0.2979 0.9034 0.9830

---

no.,formation energy (no corrections) (eV per atom),DFT total energy (eV per cell)
1,-0.86,-36.73
2,-0.02,-14.85
3,-0.58,-302.05